A plane-wave DFT calculation with PBE-GGA was carried out for an optimized crystal structure of SmMg6Pb6.

Values from the calculation:
DFT formation energy   -1.25 eV/f.u.
Energy above the lowest structure with this stoichiometry   0.000 eV/atom
Space group   Immm, No. 71
Total DFT energy (no corrections)   -2.91 eV per atom
Spin magnetization   0.0 μB per formula unit

```
13
Lattice="-3.1818 5.0303 5.4332 3.1818 -5.0303 5.4332 3.1818 5.0303 -5.4332" Properties=species:S:1:pos:R:3 pbc="T T T"
Sm 0.0000 0.0000 0.0000
Mg 1.5909 2.5152 -2.7166
Mg 1.5909 -2.5152 2.7166
Mg 3.1818 2.6675 0.0000
Mg -1.5909 2.5152 2.7166
Mg 1.5909 2.5152 2.7166
Mg 0.0000 2.3628 5.4332
Pb 3.1818 0.0000 1.6802
Pb 0.0000 0.0000 3.4224
Pb 0.0000 3.4018 0.0000
Pb 0.0000 6.6589 0.0000
Pb 0.0000 0.0000 7.4441
Pb 0.0000 5.0303 3.7530
```

***

A plane-wave DFT calculation with PBE-GGA was carried out for an optimized crystal structure of CaIn4Mo.

Values from the calculation:
DFT formation energy   1.71 eV/f.u.
Space group   F-43m, No. 216
Total DFT energy (no corrections)   -3.68 eV per atom
Spin magnetization   0.0 μB per formula unit

```
6
Lattice="0.0000 4.0972 4.0972 4.0972 0.0000 4.0972 4.0972 4.0972 0.0000" Properties=species:S:1:pos:R:3 pbc="T T T"
Ca 0.0000 0.0000 0.0000
In 5.1185 3.0760 3.0760
In 3.0760 5.1185 3.0760
In 3.0760 3.0760 5.1185
In 5.1185 5.1185 5.1185
Mo 2.0486 2.0486 2.0486
```